DFT (GGA-PBE) results for CsMnOs2Cl after structural relaxation.

The value obtained for the formation energy from raw total energies is 317.5 kJ/mol of atoms. As for the total energy: -3.58 eV/atom. As for the mass density: 6.9 g/cm3.

The structure belongs to space group P4/mmm (No. 123); the cell edges are 5.110, 5.110 and 5.576 Å and the angles 90.00°, 90.00° and 90.00°. The inequivalent atoms are Cs at (0.000, 0.000, 0.000), Mn at (0.000, 0.000, 0.500), Os at (0.000, 0.500, 0.000) and Cl at (0.500, 0.500, 0.500).

***

DFT (GGA-PBE) results for TbPrIr2 after structural relaxation.

As for the total energy: -7.44 eV/atom. Its formation energy is -658 meV per atom. As for the mass density: 12.3 g/cm3. For the offset from the most stable computed form, the calculation gives 0.000 eV per atom.

The structure belongs to space group Amm2 (No. 38); the cell edges are 4.217, 4.051 and 10.794 Å and the angles 90.00°, 90.00° and 90.00°. The inequivalent atoms are Tb at (0.000, 0.000, 0.000), Pr at (0.500, 0.000, 0.291), Ir at (0.000, 0.000, 0.717) and Ir at (0.500, 0.000, 0.565).

***

DFT (GGA-PBE) results for La2Sn2Pd after structural relaxation.

As for the total energy: -5.01 eV/atom. Its formation energy is -399 meV per atom. As for the mass density: 6.9 g/cm3.

The structure belongs to space group I4/mmm (No. 139); the cell edges are 4.134, 4.134 and 17.518 Å and the angles 90.00°, 90.00° and 90.00°. The inequivalent atoms are La at (0.000, 0.000, 0.096), Sn at (0.000, 0.500, 0.250) and Pd at (0.000, 0.000, 0.500).

***

DFT (GGA-PBE) results for Ac2La3Ru2 after structural relaxation.

As for the total energy: -6.15 eV/atom. Its formation energy is -216 meV per atom. As for the mass density: 8.0 g/cm3.

The structure belongs to space group C2/m (No. 12); the cell edges are 12.851, 4.066 and 9.461 Å and the angles 90.00°, 115.82° and 90.00°. The inequivalent atoms are Ac at (0.172, 0.000, 0.300), La at (0.000, 0.500, 0.500), La at (0.120, 0.500, 0.916) and Ru at (0.175, 0.000, 0.748).

***

DFT (GGA-PBE) results for Ca3Np3InN8 after structural relaxation.

The value obtained for the formation energy from raw total energies is -80.2 kJ/mol of atoms. As for the total energy: -8.44 eV/atom. As for the mass density: 7.7 g/cm3.

The structure belongs to space group R-3m (No. 166, hexagonal axes); the cell edges are 6.8131, 6.8131 and 17.0812 Å and the angles 90.00°, 90.00° and 120.00°. The inequivalent atoms are Ca at (0.0000, 0.5000, 0.0000), Np at (0.0000, 0.5000, 0.5000), In at (0.0000, 0.0000, 0.5000), N at (0.0000, 0.0000, 0.2416) and N at (0.0125, 0.5062, 0.7655).

***

DFT (GGA-PBE) results for LiCa2AsH after structural relaxation.

As for the total energy: -3.42 eV/atom. As for the mass density: 2.9 g/cm3.

The structure belongs to space group P4/mmm (No. 123); the cell edges are 4.757, 4.757 and 4.091 Å and the angles 90.00°, 90.00° and 90.00°. The inequivalent atoms are Li at (0.000, 0.000, 0.000), Ca at (0.000, 0.500, 0.500), As at (0.500, 0.500, 0.000) and H at (0.000, 0.000, 0.500).

***

DFT (GGA-PBE) results for YTaGa2 after structural relaxation.

As for the total energy: -5.79 eV/atom. Its formation energy is 301 meV per atom. As for the mass density: 7.2 g/cm3. For the offset from the most stable computed form, the calculation gives 0.408 eV per atom.

The structure belongs to space group I-42d (No. 122); the cell edges are 4.512, 4.512 and 18.598 Å and the angles 90.00°, 90.00° and 90.00°. The inequivalent atoms are Y at (0.000, 0.000, 0.000), Ta at (0.000, 0.000, 0.500) and Ga at (0.144, 0.250, 0.625).

***

DFT (GGA-PBE) results for LaYCl after structural relaxation.

The value obtained for the formation energy from raw total energies is -90.8 kJ/mol of atoms. As for the total energy: -5.35 eV/atom. As for the mass density: 4.9 g/cm3. For the offset from the most stable computed form, the calculation gives 0.000 eV per atom.

The structure belongs to space group Cc (No. 9); the cell edges are 18.845, 5.951 and 13.344 Å and the angles 90.00°, 134.10° and 90.00°. The inequivalent atoms are La at (0.000, 0.002, 0.000), La at (0.195, 0.010, 0.476), La at (0.196, 0.481, 0.745), Y at (0.001, 0.498, 0.829), Y at (0.399, 0.490, 0.139), Y at (0.400, 0.008, 0.488), Cl at (0.195, 0.486, 0.964), Cl at (0.199, 0.024, 0.262) and Cl at (0.340, 0.243, 0.752).

***

DFT (GGA-PBE) results for KAgPt2 after structural relaxation.

As for the total energy: -3.89 eV/atom. Its formation energy is 118 meV per atom. As for the mass density: 12.1 g/cm3.

The structure belongs to space group R-3m (No. 166, hexagonal axes); the cell edges are 2.8839, 2.8839 and 30.6238 Å and the angles 90.00°, 90.00° and 120.00°. The inequivalent atoms are K at (0.0000, 0.0000, 0.0000), Ag at (0.0000, 0.0000, 0.5000) and Pt at (0.0000, 0.0000, 0.2438).

***

DFT (GGA-PBE) results for YNb after structural relaxation.

As for the total energy: -8.02 eV/atom. Its formation energy is 252 meV per atom. As for the mass density: 6.1 g/cm3. For the offset from the most stable computed form, the calculation gives 0.131 eV per atom.

The structure belongs to space group C2/m (No. 12); the cell edges are 8.315, 4.781 and 5.707 Å and the angles 90.00°, 119.09° and 90.00°. The inequivalent atoms are Y at (0.110, 0.000, 0.330) and Nb at (0.155, 0.500, 0.963).

***

DFT (GGA-PBE) results for NaAcAgP after structural relaxation.

As for the total energy: -3.91 eV/atom. Its formation energy is -484 meV per atom. As for the mass density: 6.3 g/cm3.

The structure belongs to space group F-43m (No. 216); the cell edges are 7.417, 7.417 and 7.417 Å and the angles 90.00°, 90.00° and 90.00°. The inequivalent atoms are Na at (0.000, 0.000, 0.000), Ac at (0.000, 0.000, 0.500), Ag at (0.250, 0.250, 0.250) and P at (0.250, 0.250, 0.750).

***

DFT (GGA-PBE) results for Ti6CoAu3 after structural relaxation.

As for the total energy: -6.54 eV/atom. Its formation energy is -109 meV per atom. As for the mass density: 9.2 g/cm3.

The structure belongs to space group C2/m (No. 12); the cell edges are 9.696, 5.127 and 7.094 Å and the angles 90.00°, 107.16° and 90.00°. The inequivalent atoms are Ti at (0.138, 0.000, 0.417), Ti at (0.140, 0.243, 0.823), Co at (0.000, 0.000, 0.000), Au at (0.000, 0.500, 0.500) and Au at (0.121, 0.500, 0.190).

***

DFT (GGA-PBE) results for HgAuCl2 after structural relaxation.

The value obtained for the formation energy from raw total energies is -18.8 kJ/mol of atoms. As for the total energy: -2.01 eV/atom. As for the mass density: 6.4 g/cm3. For the offset from the most stable computed form, the calculation gives 0.048 eV per atom.

The structure belongs to space group Cmm2 (No. 35); the cell edges are 3.648, 7.503 and 8.910 Å and the angles 90.00°, 90.00° and 90.00°. The inequivalent atoms are Hg at (0.000, 0.000, 0.000), Au at (0.000, 0.500, 0.775), Cl at (0.000, 0.000, 0.585) and Cl at (0.000, 0.500, 0.203).

***

DFT (GGA-PBE) results for CePmGa5Pt2 after structural relaxation.

As for the total energy: -4.86 eV/atom. Its formation energy is -652 meV per atom. As for the mass density: 9.4 g/cm3.

The structure belongs to space group P4/mmm (No. 123); the cell edges are 4.121, 4.121 and 10.651 Å and the angles 90.00°, 90.00° and 90.00°. The inequivalent atoms are Ce at (0.000, 0.000, 0.000), Pm at (0.000, 0.000, 0.500), Ga at (0.000, 0.500, 0.276), Ga at (0.500, 0.500, 0.500) and Pt at (0.500, 0.500, 0.124).

***

DFT (GGA-PBE) results for ZnTcIr6 after structural relaxation.

As for the total energy: -8.21 eV/atom. Its formation energy is -112 meV per atom. As for the mass density: 18.9 g/cm3.

The structure belongs to space group P4/mmm (No. 123); the cell edges are 3.867, 3.867 and 7.740 Å and the angles 90.00°, 90.00° and 90.00°. The inequivalent atoms are Zn at (0.000, 0.000, 0.000), Tc at (0.000, 0.000, 0.500), Ir at (0.000, 0.500, 0.255), Ir at (0.500, 0.500, 0.000) and Ir at (0.500, 0.500, 0.500).

***

DFT (GGA-PBE) results for Pu4Ir3Rh after structural relaxation.

As for the total energy: -11.85 eV/atom. Its formation energy is -439 meV per atom. As for the mass density: 17.1 g/cm3.

The structure belongs to space group Fmmm (No. 69); the cell edges are 6.845, 6.855 and 13.735 Å and the angles 90.00°, 90.00° and 90.00°. The inequivalent atoms are Pu at (0.250, 0.250, 0.126), Ir at (0.000, 0.000, 0.000), Ir at (0.000, 0.000, 0.253) and Rh at (0.000, 0.000, 0.500).

***

DFT (GGA-PBE) results for SmHo3Zn4 after structural relaxation.

As for the total energy: -3.28 eV/atom. Its formation energy is -335 meV per atom. As for the mass density: 8.2 g/cm3.

The structure belongs to space group P4/mmm (No. 123); the cell edges are 5.037, 5.037 and 7.200 Å and the angles 90.00°, 90.00° and 90.00°. The inequivalent atoms are Sm at (0.000, 0.000, 0.000), Ho at (0.000, 0.000, 0.500), Ho at (0.500, 0.500, 0.000), Ho at (0.500, 0.500, 0.500) and Zn at (0.000, 0.500, 0.256).

***

DFT (GGA-PBE) results for ErLuBi after structural relaxation.

As for the total energy: -4.73 eV/atom. Its formation energy is -410 meV per atom. As for the mass density: 10.7 g/cm3.

The structure belongs to space group I4mm (No. 107); the cell edges are 3.981, 3.981 and 10.756 Å and the angles 90.00°, 90.00° and 90.00°. The inequivalent atoms are Er at (0.000, 0.000, 0.000), Lu at (0.000, 0.000, 0.317) and Bi at (0.000, 0.000, 0.660).

***

DFT (GGA-PBE) results for TaMoAsSe2 after structural relaxation.

The value obtained for the formation energy from raw total energies is 100.2 kJ/mol of atoms. As for the total energy: -5.82 eV/atom. As for the mass density: 7.5 g/cm3. For the offset from the most stable computed form, the calculation gives 0.344 eV per atom.

The structure belongs to space group P4/mmm (No. 123); the cell edges are 4.825, 4.825 and 4.873 Å and the angles 90.00°, 90.00° and 90.00°. The inequivalent atoms are Ta at (0.000, 0.000, 0.000), Mo at (0.500, 0.500, 0.500), As at (0.500, 0.500, 0.000) and Se at (0.000, 0.500, 0.500).

***

DFT (GGA-PBE) results for Pm2PrSmHo4 after structural relaxation.

As for the total energy: -4.25 eV/atom. Its formation energy is 411 meV per atom. As for the mass density: 7.6 g/cm3.

The structure belongs to space group Imma (No. 74); the cell edges are 6.836, 11.874 and 13.301 Å and the angles 90.00°, 90.00° and 90.00°. The inequivalent atoms are Pm at (0.000, 0.000, 0.000), Pm at (0.250, 0.250, 0.250), Pr at (0.000, 0.000, 0.500), Sm at (0.250, 0.250, 0.750), Ho at (0.000, 0.000, 0.250) and Ho at (0.249, 0.250, 0.000).